*A*
# YCr2Ni, PBEsol geometry, DFT SCAN
data_YCr2Ni
_chemical_formula_sum 'Y1 Cr2 Ni1'
_cell_length_a 3.050
_cell_length_b 4.533
_cell_length_c 4.594
_cell_angle_alpha 90.00
_cell_angle_beta 101.13
_cell_angle_gamma 90.00
_space_group_name_H-M_alt 'P 1'
_space_group_IT_number 1
_space_group_name_Hall 'P 1'
loop_
_atom_site_label
_atom_site_type_symbol
_atom_site_fract_x
_atom_site_fract_y
_atom_site_fract_z
Y1 Y 0.000 0.000 0.000
Cr1 Cr 0.320 0.500 0.669
Cr2 Cr 0.680 0.500 0.331
Ni1 Ni 0.500 0.000 0.500
# Space group: P2/m (10)
# M_tot in μB per formula unit: 1.2
# Crystal system: monoclinic


*B*
# YCr2Ni, PBEsol geometry, DFT SCAN
data_YCr2Ni
_chemical_formula_sum 'Y1 Cr2 Ni1'
_cell_length_a 8.133
_cell_length_b 8.133
_cell_length_c 8.133
_cell_angle_alpha 20.83
_cell_angle_beta 20.83
_cell_angle_gamma 20.83
_space_group_name_H-M_alt 'P 1'
_space_group_IT_number 1
_space_group_name_Hall 'P 1'
loop_
_atom_site_label
_atom_site_type_symbol
_atom_site_fract_x
_atom_site_fract_y
_atom_site_fract_z
Y1 Y 0.000 0.000 0.000
Cr1 Cr 0.498 0.498 0.498
Cr2 Cr 0.770 0.770 0.770
Ni1 Ni 0.239 0.239 0.239
# Space group: R3m (160)
# M_tot in μB per formula unit: 0.0
# Crystal system: trigonal


Most stable structure - *A*; separation to the second - 10.0 kJ/mol of atoms.


*A*
# CrP3O9, PBEsol geometry, DFT SCAN
data_CrP3O9
_chemical_formula_sum 'Cr2 P6 O18'
_cell_length_a 7.281
_cell_length_b 7.281
_cell_length_c 9.359
_cell_angle_alpha 121.99
_cell_angle_beta 121.99
_cell_angle_gamma 52.51
_space_group_name_H-M_alt 'P 1'
_space_group_IT_number 1
_space_group_name_Hall 'P 1'
loop_
_atom_site_label
_atom_site_type_symbol
_atom_site_fract_x
_atom_site_fract_y
_atom_site_fract_z
Cr1 Cr 0.000 0.500 0.000
Cr2 Cr 0.500 0.000 0.500
P1 P 0.043 0.957 0.750
P2 P 0.289 0.480 0.821
P3 P 0.480 0.289 0.321
P4 P 0.520 0.711 0.679
P5 P 0.711 0.520 0.179
P6 P 0.957 0.043 0.250
O1 O 0.027 0.178 0.909
O2 O 0.130 0.754 0.822
O3 O 0.143 0.407 0.829
O4 O 0.178 0.027 0.409
O5 O 0.246 0.870 0.678
O6 O 0.329 0.388 0.167
O7 O 0.388 0.329 0.667
O8 O 0.407 0.143 0.329
O9 O 0.500 0.500 0.000
O10 O 0.500 0.500 0.500
O11 O 0.593 0.857 0.671
O12 O 0.612 0.671 0.333
O13 O 0.671 0.612 0.833
O14 O 0.754 0.130 0.322
O15 O 0.822 0.973 0.591
O16 O 0.857 0.593 0.171
O17 O 0.870 0.246 0.178
O18 O 0.973 0.822 0.091
# Space group: C2/c (15)
# M_tot in μB per formula unit: 3.0
# Crystal system: monoclinic


*B*
# CrP3O9, PBEsol geometry, DFT SCAN
data_CrP3O9
_chemical_formula_sum 'Cr4 P12 O36'
_cell_length_a 6.236
_cell_length_b 15.286
_cell_length_c 8.333
_cell_angle_alpha 90.00
_cell_angle_beta 105.78
_cell_angle_gamma 90.00
_space_group_name_H-M_alt 'P 1'
_space_group_IT_number 1
_space_group_name_Hall 'P 1'
loop_
_atom_site_label
_atom_site_type_symbol
_atom_site_fract_x
_atom_site_fract_y
_atom_site_fract_z
Cr1 Cr 0.117 0.137 0.376
Cr2 Cr 0.117 0.363 0.876
Cr3 Cr 0.883 0.637 0.124
Cr4 Cr 0.883 0.863 0.624
P1 P 0.148 0.044 0.719
P2 P 0.148 0.456 0.219
P3 P 0.205 0.161 0.016
P4 P 0.205 0.339 0.516
P5 P 0.413 0.613 0.209
P6 P 0.413 0.887 0.709
P7 P 0.587 0.113 0.291
P8 P 0.587 0.387 0.791
P9 P 0.795 0.661 0.484
P10 P 0.795 0.839 0.984
P11 P 0.852 0.544 0.781
P12 P 0.852 0.956 0.281
O1 O 0.055 0.012 0.341
O2 O 0.055 0.488 0.841
O3 O 0.065 0.153 0.135
O4 O 0.065 0.347 0.635
O5 O 0.158 0.075 0.904
O6 O 0.158 0.425 0.404
O7 O 0.170 0.123 0.617
O8 O 0.170 0.377 0.117
O9 O 0.180 0.238 0.903
O10 O 0.180 0.262 0.403
O11 O 0.197 0.660 0.144
O12 O 0.197 0.840 0.644
O13 O 0.371 0.513 0.253
O14 O 0.371 0.987 0.753
O15 O 0.432 0.114 0.400
O16 O 0.432 0.386 0.900
O17 O 0.465 0.152 0.111
O18 O 0.465 0.348 0.611
O19 O 0.535 0.652 0.389
O20 O 0.535 0.848 0.889
O21 O 0.568 0.614 0.100
O22 O 0.568 0.886 0.600
O23 O 0.629 0.013 0.247
O24 O 0.629 0.487 0.747
O25 O 0.803 0.160 0.356
O26 O 0.803 0.340 0.856
O27 O 0.820 0.738 0.597
O28 O 0.820 0.762 0.097
O29 O 0.830 0.623 0.883
O30 O 0.830 0.877 0.383
O31 O 0.842 0.575 0.596
O32 O 0.842 0.925 0.096
O33 O 0.935 0.653 0.365
O34 O 0.935 0.847 0.865
O35 O 0.945 0.512 0.159
O36 O 0.945 0.988 0.659
# Space group: P2_1/c (14)
# M_tot in μB per formula unit: 3.0
# Crystal system: monoclinic


*C*
# CrP3O9, PBEsol geometry, DFT SCAN
data_CrP3O9
_chemical_formula_sum 'Cr4 P12 O36'
_cell_length_a 8.304
_cell_length_b 8.371
_cell_length_c 8.974
_cell_angle_alpha 90.00
_cell_angle_beta 90.00
_cell_angle_gamma 90.00
_space_group_name_H-M_alt 'P 1'
_space_group_IT_number 1
_space_group_name_Hall 'P 1'
loop_
_atom_site_label
_atom_site_type_symbol
_atom_site_fract_x
_atom_site_fract_y
_atom_site_fract_z
Cr1 Cr 0.125 0.098 0.136
Cr2 Cr 0.375 0.902 0.636
Cr3 Cr 0.625 0.402 0.864
Cr4 Cr 0.875 0.598 0.364
P1 P 0.067 0.729 0.082
P2 P 0.072 0.948 0.832
P3 P 0.216 0.562 0.555
P4 P 0.284 0.438 0.055
P5 P 0.428 0.052 0.332
P6 P 0.433 0.271 0.582
P7 P 0.567 0.771 0.918
P8 P 0.572 0.552 0.168
P9 P 0.716 0.938 0.445
P10 P 0.784 0.062 0.945
P11 P 0.928 0.448 0.668
P12 P 0.933 0.229 0.418
O1 O 0.016 0.789 0.919
O2 O 0.069 0.139 0.348
O3 O 0.101 0.529 0.698
O4 O 0.110 0.594 0.422
O5 O 0.134 0.867 0.169
O6 O 0.142 0.903 0.684
O7 O 0.151 0.327 0.098
O8 O 0.172 0.055 0.930
O9 O 0.207 0.610 0.032
O10 O 0.293 0.390 0.532
O11 O 0.328 0.945 0.430
O12 O 0.349 0.673 0.598
O13 O 0.358 0.097 0.184
O14 O 0.366 0.133 0.669
O15 O 0.390 0.406 0.922
O16 O 0.399 0.471 0.198
O17 O 0.431 0.861 0.848
O18 O 0.484 0.211 0.419
O19 O 0.516 0.711 0.081
O20 O 0.569 0.361 0.652
O21 O 0.601 0.971 0.302
O22 O 0.610 0.906 0.578
O23 O 0.634 0.633 0.831
O24 O 0.642 0.597 0.316
O25 O 0.651 0.173 0.902
O26 O 0.672 0.445 0.070
O27 O 0.707 0.890 0.968
O28 O 0.793 0.110 0.468
O29 O 0.828 0.555 0.570
O30 O 0.849 0.827 0.402
O31 O 0.858 0.403 0.816
O32 O 0.866 0.367 0.331
O33 O 0.890 0.094 0.078
O34 O 0.899 0.029 0.802
O35 O 0.931 0.639 0.152
O36 O 0.984 0.289 0.581
# Space group: P2_12_12_1 (19)
# M_tot in μB per formula unit: 3.0
# Crystal system: orthorhombic


*D*
# CrP3O9, PBEsol geometry, DFT SCAN
data_CrP3O9
_chemical_formula_sum 'Cr2 P6 O18'
_cell_length_a 6.524
_cell_length_b 6.524
_cell_length_c 9.548
_cell_angle_alpha 90.00
_cell_angle_beta 90.00
_cell_angle_gamma 120.00
_space_group_name_H-M_alt 'P 1'
_space_group_IT_number 1
_space_group_name_Hall 'P 1'
loop_
_atom_site_label
_atom_site_type_symbol
_atom_site_fract_x
_atom_site_fract_y
_atom_site_fract_z
Cr1 Cr 0.000 0.000 0.000
Cr2 Cr 0.000 0.000 0.500
P1 P 0.377 0.110 0.250
P2 P 0.377 0.267 0.750
P3 P 0.733 0.110 0.750
P4 P 0.733 0.623 0.250
P5 P 0.890 0.267 0.250
P6 P 0.890 0.623 0.750
O1 O 0.249 0.005 0.116
O2 O 0.249 0.005 0.384
O3 O 0.249 0.245 0.616
O4 O 0.249 0.245 0.884
O5 O 0.479 0.088 0.750
O6 O 0.479 0.390 0.250
O7 O 0.610 0.088 0.250
O8 O 0.610 0.521 0.750
O9 O 0.755 0.005 0.616
O10 O 0.755 0.005 0.884
O11 O 0.755 0.751 0.116
O12 O 0.755 0.751 0.384
O13 O 0.912 0.390 0.750
O14 O 0.912 0.521 0.250
O15 O 0.995 0.245 0.116
O16 O 0.995 0.245 0.384
O17 O 0.995 0.751 0.616
O18 O 0.995 0.751 0.884
# Space group: P-6c2 (188)
# M_tot in μB per formula unit: 3.0
# Crystal system: hexagonal


Most stable structure - *B*; separation to the second - 0.6 kJ/mol of atoms.


*A*
# CrP2O7, PBEsol geometry, DFT SCAN
data_CrP2O7
_chemical_formula_sum 'Cr4 P8 O28'
_cell_length_a 6.746
_cell_length_b 7.835
_cell_length_c 9.240
_cell_angle_alpha 90.00
_cell_angle_beta 108.37
_cell_angle_gamma 90.00
_space_group_name_H-M_alt 'P 1'
_space_group_IT_number 1
_space_group_name_Hall 'P 1'
loop_
_atom_site_label
_atom_site_type_symbol
_atom_site_fract_x
_atom_site_fract_y
_atom_site_fract_z
Cr1 Cr 0.221 0.228 0.007
Cr2 Cr 0.221 0.272 0.507
Cr3 Cr 0.779 0.728 0.493
Cr4 Cr 0.779 0.772 0.993
P1 P 0.033 0.592 0.295
P2 P 0.033 0.908 0.795
P3 P 0.435 0.032 0.795
P4 P 0.435 0.468 0.295
P5 P 0.565 0.532 0.705
P6 P 0.565 0.968 0.205
P7 P 0.967 0.092 0.205
P8 P 0.967 0.408 0.705
O1 O 0.018 0.238 0.111
O2 O 0.018 0.262 0.611
O3 O 0.031 0.081 0.870
O4 O 0.031 0.419 0.370
O5 O 0.106 0.094 0.371
O6 O 0.106 0.406 0.871
O7 O 0.269 0.618 0.293
O8 O 0.269 0.882 0.793
O9 O 0.353 0.054 0.153
O10 O 0.353 0.446 0.653
O11 O 0.391 0.104 0.635
O12 O 0.391 0.396 0.135
O13 O 0.415 0.173 0.906
O14 O 0.415 0.327 0.406
O15 O 0.585 0.673 0.594
O16 O 0.585 0.827 0.094
O17 O 0.609 0.604 0.865
O18 O 0.609 0.896 0.365
O19 O 0.647 0.554 0.347
O20 O 0.647 0.946 0.847
O21 O 0.731 0.118 0.207
O22 O 0.731 0.382 0.707
O23 O 0.894 0.594 0.129
O24 O 0.894 0.906 0.629
O25 O 0.969 0.581 0.630
O26 O 0.969 0.919 0.130
O27 O 0.982 0.738 0.389
O28 O 0.982 0.762 0.889
# Space group: P2_1/c (14)
# M_tot in μB per formula unit: 2.0
# Crystal system: monoclinic


*B*
# CrP2O7, PBEsol geometry, DFT SCAN
data_CrP2O7
_chemical_formula_sum 'Cr4 P8 O28'
_cell_length_a 6.161
_cell_length_b 6.161
_cell_length_c 12.973
_cell_angle_alpha 105.67
_cell_angle_beta 105.67
_cell_angle_gamma 81.07
_space_group_name_H-M_alt 'P 1'
_space_group_IT_number 1
_space_group_name_Hall 'P 1'
loop_
_atom_site_label
_atom_site_type_symbol
_atom_site_fract_x
_atom_site_fract_y
_atom_site_fract_z
Cr1 Cr 0.076 0.623 0.852
Cr2 Cr 0.377 0.924 0.648
Cr3 Cr 0.623 0.076 0.352
Cr4 Cr 0.924 0.377 0.148
P1 P 0.080 0.168 0.927
P2 P 0.168 0.080 0.427
P3 P 0.241 0.425 0.635
P4 P 0.425 0.241 0.135
P5 P 0.575 0.759 0.865
P6 P 0.759 0.575 0.365
P7 P 0.832 0.920 0.573
P8 P 0.920 0.832 0.073
O1 O 0.018 0.937 0.852
O2 O 0.057 0.524 0.698
O3 O 0.063 0.982 0.648
O4 O 0.095 0.712 0.006
O5 O 0.111 0.309 0.513
O6 O 0.129 0.319 0.862
O7 O 0.237 0.402 0.179
O8 O 0.288 0.905 0.494
O9 O 0.309 0.111 0.013
O10 O 0.319 0.129 0.362
O11 O 0.369 0.608 0.625
O12 O 0.392 0.631 0.875
O13 O 0.402 0.237 0.679
O14 O 0.476 0.943 0.802
O15 O 0.524 0.057 0.198
O16 O 0.598 0.763 0.321
O17 O 0.608 0.369 0.125
O18 O 0.631 0.392 0.375
O19 O 0.681 0.871 0.638
O20 O 0.691 0.889 0.987
O21 O 0.712 0.095 0.506
O22 O 0.763 0.598 0.821
O23 O 0.871 0.681 0.138
O24 O 0.889 0.691 0.487
O25 O 0.905 0.288 0.994
O26 O 0.937 0.018 0.352
O27 O 0.943 0.476 0.302
O28 O 0.982 0.063 0.148
# Space group: C2/c (15)
# M_tot in μB per formula unit: 2.0
# Crystal system: monoclinic


*C*
# CrP2O7, PBEsol geometry, DFT SCAN
data_CrP2O7
_chemical_formula_sum 'Cr2 P4 O14'
_cell_length_a 4.751
_cell_length_b 7.826
_cell_length_c 6.898
_cell_angle_alpha 90.00
_cell_angle_beta 105.58
_cell_angle_gamma 90.00
_space_group_name_H-M_alt 'P 1'
_space_group_IT_number 1
_space_group_name_Hall 'P 1'
loop_
_atom_site_label
_atom_site_type_symbol
_atom_site_fract_x
_atom_site_fract_y
_atom_site_fract_z
Cr1 Cr 0.219 0.000 0.230
Cr2 Cr 0.781 0.500 0.770
P1 P 0.236 0.737 0.609
P2 P 0.388 0.315 0.003
P3 P 0.612 0.815 0.997
P4 P 0.764 0.237 0.391
O1 O 0.032 0.184 0.324
O2 O 0.140 0.444 0.952
O3 O 0.145 0.843 0.419
O4 O 0.284 0.132 0.017
O5 O 0.417 0.820 0.141
O6 O 0.422 0.867 0.776
O7 O 0.430 0.582 0.596
O8 O 0.570 0.082 0.404
O9 O 0.578 0.367 0.224
O10 O 0.583 0.320 0.859
O11 O 0.716 0.632 0.983
O12 O 0.855 0.343 0.581
O13 O 0.860 0.944 0.048
O14 O 0.968 0.684 0.676
# Space group: P2_1 (4)
# M_tot in μB per formula unit: 2.0
# Crystal system: monoclinic


Most stable structure - *C*; separation to the second - 1.7 kJ/mol of atoms.